Entry from Alexandria: Ca2Mo2Ir after structural relaxation (PBE).

## Properties
Its space group is I4/mmm. The calculation puts the mass density at 6.67 g/cm3. The formation energy is 0.44 eV per atom. The calculation puts the energy above the most stable polymorph in this dataset at 0.0 meV per atom.

Unit cell a=3.492 b=3.492 c=9.800 alpha=79.74 beta=79.74 gamma=90.00
Fractional coordinates of all 5 atoms:
Mo: 0.750 0.250 0.500
Mo: 0.250 0.750 0.500
Ir: 0.000 0.000 0.000
Ca: 0.411 0.411 0.178
Ca: 0.589 0.589 0.822

---

Entry from Alexandria: CaMo2Ir after structural relaxation (PBE).

## Properties
Its space group is P4mm. The calculation puts the mass density at 9.57 g/cm3. The formation energy is 0.24 eV per atom. The calculation puts the energy above the most stable polymorph in this dataset at 0.0 meV per atom.

Unit cell a=3.211 b=3.211 c=7.140 alpha=90.00 beta=90.00 gamma=90.00
Fractional coordinates of all 4 atoms:
Mo: 0.000 0.000 0.011
Mo: 0.500 0.500 0.194
Ir: 0.500 0.500 0.784
Ca: 0.000 0.000 0.511

---

Entry from Alexandria: CaMo2Ir after structural relaxation (PBE).

## Properties
Its space group is F-43m. The calculation puts the mass density at 10.34 g/cm3. The formation energy is 0.35 eV per atom. The calculation puts the energy above the most stable polymorph in this dataset at 103.8 meV per atom.

Unit cell a=4.584 b=4.584 c=4.584 alpha=60.00 beta=60.00 gamma=60.00
Fractional coordinates of all 4 atoms:
Mo: 0.000 0.000 0.000
Mo: 0.250 0.250 0.250
Ir: 0.750 0.750 0.750
Ca: 0.500 0.500 0.500

---

Entry from Alexandria: CaMo2Ir after structural relaxation (PBE).

## Properties
Its space group is Imm2. The calculation puts the mass density at 9.86 g/cm3. The formation energy is 0.37 eV per atom. The calculation puts the energy above the most stable polymorph in this dataset at 127.6 meV per atom.

Unit cell a=5.497 b=5.497 c=5.497 alpha=147.30 beta=126.39 gamma=64.23
Fractional coordinates of all 4 atoms:
Mo: 0.991 0.991 0.000
Mo: 0.780 0.280 0.500
Ir: 0.228 0.728 0.500
Ca: 0.500 0.500 0.000

---

Entry from Alexandria: CaMo2Ir after structural relaxation (PBE).

## Properties
Its space group is R-3m. The calculation puts the mass density at 9.96 g/cm3. The formation energy is 0.54 eV per atom. The calculation puts the energy above the most stable polymorph in this dataset at 295.8 meV per atom.

Unit cell a=10.039 b=10.039 c=10.039 alpha=16.45 beta=16.45 gamma=16.45
Fractional coordinates of all 4 atoms:
Mo: 0.010 0.010 0.010
Mo: 0.490 0.490 0.490
Ir: 0.750 0.750 0.750
Ca: 0.250 0.250 0.250

---

Entry from Alexandria: CaMo3Ir after structural relaxation (PBE).

## Properties
Its space group is Pm-3m. The calculation puts the mass density at 9.59 g/cm3. The formation energy is 2.70 eV per atom. The calculation puts the energy above the most stable polymorph in this dataset at 1486.7 meV per atom.

Unit cell a=4.483 b=4.483 c=4.483 alpha=90.00 beta=90.00 gamma=90.00
Fractional coordinates of all 5 atoms:
Mo: 0.000 0.500 0.000
Mo: 0.000 0.000 0.500
Mo: 0.500 0.000 0.000
Ir: 0.500 0.500 0.500
Ca: 0.000 0.000 0.000

---

Entry from Alexandria: CaMoIr after structural relaxation (PBE).

## Properties
Its space group is I4mm. The calculation puts the mass density at 8.80 g/cm3. The formation energy is 0.15 eV per atom. The calculation puts the energy above the most stable polymorph in this dataset at 0.0 meV per atom.

Unit cell a=6.334 b=6.334 c=6.334 alpha=150.38 beta=150.38 gamma=42.38
Fractional coordinates of all 3 atoms:
Mo: 0.704 0.704 0.000
Ir: 0.300 0.300 0.000
Ca: 0.996 0.996 0.000

---

Entry from Alexandria: Ca3MoIr after structural relaxation (PBE).

## Properties
Its space group is Pm-3m. The calculation puts the mass density at 4.16 g/cm3. The formation energy is 0.63 eV per atom. The calculation puts the energy above the most stable polymorph in this dataset at 0.0 meV per atom.

Unit cell a=5.462 b=5.462 c=5.462 alpha=90.00 beta=90.00 gamma=90.00
Site moments in Bohr magnetons follow the coordinates.
Fractional coordinates of all 5 atoms:
Mo: 0.500 0.500 0.500  3.69
Ir: 0.000 0.000 0.000  0.12
Ca: 0.000 0.500 0.000  0.00
Ca: 0.000 0.000 0.500  0.01
Ca: 0.500 0.000 0.000  -0.01

---

Entry from Alexandria: CaMo2Ir after structural relaxation (PBE).

## Properties
Its space group is P4/mmm. The calculation puts the mass density at 10.01 g/cm3. The formation energy is 0.51 eV per atom. The calculation puts the energy above the most stable polymorph in this dataset at 262.7 meV per atom.

Unit cell a=4.767 b=3.843 c=3.843 alpha=90.00 beta=90.00 gamma=90.00
Fractional coordinates of all 4 atoms:
Mo: 0.000 0.000 0.000
Mo: 0.000 0.500 0.500
Ir: 0.500 0.000 0.500
Ca: 0.500 0.500 0.000

---

Entry from Alexandria: CaMoIr after structural relaxation (PBE).

## Properties
Its space group is F-43m. The calculation puts the mass density at 8.60 g/cm3. The formation energy is 0.44 eV per atom. The calculation puts the energy above the most stable polymorph in this dataset at 287.3 meV per atom.

Unit cell a=4.475 b=4.475 c=4.475 alpha=60.00 beta=60.00 gamma=60.00
Fractional coordinates of all 3 atoms:
Mo: 0.000 0.000 0.000
Ir: 0.250 0.250 0.250
Ca: 0.500 0.500 0.500

---

Entry from Alexandria: CaMo2Ir after structural relaxation (PBE).

## Properties
Its space group is I-42d. The calculation puts the mass density at 8.66 g/cm3. The formation energy is 0.67 eV per atom. The calculation puts the energy above the most stable polymorph in this dataset at 427.9 meV per atom.

Unit cell a=7.720 b=7.720 c=6.102 alpha=50.77 beta=50.77 gamma=90.00
Fractional coordinates of all 8 atoms:
Mo: 0.686 0.125 0.250
Mo: 0.064 0.625 0.250
Mo: 0.375 0.314 0.750
Mo: 0.875 0.936 0.750
Ir: 0.000 0.000 0.000
Ir: 0.750 0.250 0.500
Ca: 0.500 0.500 0.000
Ca: 0.250 0.750 0.500

---

Entry from Alexandria: CaMoIr after structural relaxation (PBE).

## Properties
Its space group is F-43m. The calculation puts the mass density at 8.26 g/cm3. The formation energy is 1.60 eV per atom. The calculation puts the energy above the most stable polymorph in this dataset at 1450.1 meV per atom.

Unit cell a=4.536 b=4.536 c=4.536 alpha=60.00 beta=60.00 gamma=60.00
Site moments in Bohr magnetons follow the coordinates.
Fractional coordinates of all 3 atoms:
Mo: 0.500 0.500 0.500  2.49
Ir: 0.000 0.000 0.000  0.01
Ca: 0.250 0.250 0.250  0.11